(1)
VASP calculation (PBE) on a geometry-optimized MgTaB2 structure.

Values from the calculation:
* energy relative to the elements: 62.1 kJ/mol of atoms
* DOS(E_F): 8.817 states/eV per cell
* space group: I-42d (122)

a b c (Å): 6.021 6.021 5.844
angles (deg): 90.00 90.00 90.00
Fractional positions:
Mg: 0.000 0.000 0.000
Mg: 0.000 0.500 0.250
Mg: 0.500 0.000 0.750
Mg: 0.500 0.500 0.500
Ta: 0.000 0.000 0.500
Ta: 0.000 0.500 0.750
Ta: 0.500 0.000 0.250
Ta: 0.500 0.500 0.000
B: 0.245 0.750 0.625
B: 0.250 0.245 0.375
B: 0.250 0.255 0.875
B: 0.255 0.750 0.125
B: 0.745 0.250 0.125
B: 0.750 0.745 0.875
B: 0.750 0.755 0.375
B: 0.755 0.250 0.625


(2)
VASP calculation (PBE) on a geometry-optimized MnBeNbV structure.

Values from the calculation:
* energy relative to the elements: 4.5 kJ/mol of atoms
* DOS(E_F): 19.110 states/eV per cell
* space group: F-43m (216)

a b c (Å): 5.912 5.912 5.912
angles (deg): 90.00 90.00 90.00
Fractional positions:
Mn: 0.000 0.000 0.000
Mn: 0.000 0.500 0.500
Mn: 0.500 0.000 0.500
Mn: 0.500 0.500 0.000
Be: 0.000 0.000 0.500
Be: 0.000 0.500 0.000
Be: 0.500 0.000 0.000
Be: 0.500 0.500 0.500
Nb: 0.250 0.250 0.750
Nb: 0.250 0.750 0.250
Nb: 0.750 0.250 0.250
Nb: 0.750 0.750 0.750
V: 0.250 0.250 0.250
V: 0.250 0.750 0.750
V: 0.750 0.250 0.750
V: 0.750 0.750 0.250


- Among the records above, which one has the highest energy relative to the elements?
  MgTaB2


- The highest DOS(E_F) belongs to which entry?
  MnBeNbV